! LiLaOF2 | Alexandria via LeMat-Bulk | PBE | relaxed; values from VASP
&SYSTEM
  ibrav = 0, nat = 5, ntyp = 4
/
ATOMIC_SPECIES
Li 6.94 Li.upf
La 138.91 La.upf
O 16.00 O.upf
F 19.00 F.upf
CELL_PARAMETERS angstrom
3.677 0.000 0.000
0.000 3.677 0.000
0.000 0.000 4.174
ATOMIC_POSITIONS angstrom
Li 0.000 0.000 0.000
La 1.838 1.838 2.087
O 0.000 0.000 2.087
F 0.000 1.838 0.000
F 1.838 0.000 0.000
! - ΔE_f (raw): -3.265 eV per atom
! - ΔE to the lowest computed polymorph: 0.000 eV/atom

! LiLaOF2 | Alexandria via LeMat-Bulk | PBE | relaxed; values from VASP
&SYSTEM
  ibrav = 0, nat = 5, ntyp = 4
/
ATOMIC_SPECIES
Li 6.94 Li.upf
La 138.91 La.upf
O 16.00 O.upf
F 19.00 F.upf
CELL_PARAMETERS angstrom
4.752 0.000 0.000
0.000 4.752 0.000
0.000 0.000 4.564
ATOMIC_POSITIONS angstrom
Li 0.000 0.000 0.000
La 2.376 2.376 2.282
O 2.376 2.376 0.000
F 0.000 2.376 2.282
F 2.376 0.000 2.282
! - ΔE_f (raw): -2.904 eV per atom
! - ΔE to the lowest computed polymorph: 0.361 eV/atom

! LiLaO2F | Alexandria via LeMat-Bulk | PBE | relaxed; values from VASP
&SYSTEM
  ibrav = 0, nat = 5, ntyp = 4
/
ATOMIC_SPECIES
Li 6.94 Li.upf
La 138.91 La.upf
O 16.00 O.upf
F 19.00 F.upf
CELL_PARAMETERS angstrom
4.522 0.000 0.000
0.000 4.522 0.000
0.000 0.000 4.751
ATOMIC_POSITIONS angstrom
Li 0.000 0.000 0.000
La 2.261 2.261 2.376
O 0.000 2.261 2.376
O 2.261 0.000 2.376
F 2.261 2.261 0.000
! - ΔE_f (raw): -2.257 eV per atom

! LiLaO2F | Alexandria via LeMat-Bulk | PBE | relaxed; values from VASP
&SYSTEM
  ibrav = 0, nat = 5, ntyp = 4
/
ATOMIC_SPECIES
Li 6.94 Li.upf
La 138.91 La.upf
O 16.00 O.upf
F 19.00 F.upf
CELL_PARAMETERS angstrom
3.854 0.000 0.000
0.000 3.854 0.000
0.000 0.000 3.763
ATOMIC_POSITIONS angstrom
Li 0.000 0.000 0.000
La 1.927 1.927 1.881
O 0.000 1.927 0.000
O 1.927 0.000 0.000
F 0.000 0.000 1.881
! - ΔE_f (raw): -2.599 eV per atom

! LiLa2S2O8F3 | Alexandria via LeMat-Bulk | PBE | relaxed; values from VASP
&SYSTEM
  ibrav = 0, nat = 32, ntyp = 5
/
ATOMIC_SPECIES
Li 6.94 Li.upf
La 138.91 La.upf
S 32.06 S.upf
O 16.00 O.upf
F 19.00 F.upf
CELL_PARAMETERS angstrom
7.909 -3.520 0.000
7.909 3.520 0.000
-3.784 0.000 7.406
ATOMIC_POSITIONS angstrom
Li 5.071 2.877 5.554
Li 6.963 -2.877 1.851
La 5.882 0.665 0.239
La 3.990 -0.665 3.942
La 8.045 0.665 3.464
La 6.153 -0.665 7.167
S 0.248 0.601 4.827
S 2.139 -0.601 1.125
S 9.895 0.601 6.281
S 11.787 -0.601 2.578
O 1.387 0.658 0.901
O -0.118 1.155 6.175
O 4.195 1.961 3.671
O -0.505 -0.658 4.604
O 1.714 0.360 4.925
O 3.606 -0.360 1.222
O 9.731 1.961 0.032
O 1.774 -1.155 2.472
O 10.261 1.155 4.934
O 2.303 -1.961 7.374
O 8.429 0.360 6.183
O 10.321 -0.360 2.480
O 12.540 0.658 2.802
O 7.840 -1.961 3.735
O 12.153 -1.155 1.231
O 10.648 -0.658 6.505
F 6.963 2.160 1.851
F 3.982 0.255 6.178
F 5.874 -0.255 2.475
F 6.161 0.255 4.930
F 8.052 -0.255 1.228
F 5.071 -2.160 5.554
! - ΔE_f (raw): -2.602 eV per atom

! Li2LaPbF | Alexandria via LeMat-Bulk | PBE | relaxed; values from VASP
&SYSTEM
  ibrav = 0, nat = 5, ntyp = 4
/
ATOMIC_SPECIES
Li 6.94 Li.upf
La 138.91 La.upf
Pb 207.20 Pb.upf
F 19.00 F.upf
CELL_PARAMETERS angstrom
6.572 0.000 0.000
0.000 6.572 0.000
0.000 0.000 5.875
ATOMIC_POSITIONS angstrom
Li 0.000 3.286 0.000
Li 3.286 0.000 0.000
La 0.000 0.000 0.000
Pb 0.000 0.000 2.938
F 3.286 3.286 2.938
! - ΔE_f (raw): 0.555 eV per atom
! - ΔE to the lowest computed polymorph: 1.883 eV/atom

! Li2LaPbF | Alexandria via LeMat-Bulk | PBE | relaxed; values from VASP
&SYSTEM
  ibrav = 0, nat = 5, ntyp = 4
/
ATOMIC_SPECIES
Li 6.94 Li.upf
La 138.91 La.upf
Pb 207.20 Pb.upf
F 19.00 F.upf
CELL_PARAMETERS angstrom
4.659 0.000 0.000
0.000 4.659 0.000
0.000 0.000 4.980
ATOMIC_POSITIONS angstrom
Li 0.000 2.330 0.000
Li 2.330 0.000 0.000
La 0.000 0.000 2.490
Pb 2.330 2.330 2.490
F 0.000 0.000 0.000
! - ΔE_f (raw): -1.328 eV per atom
! - ΔE to the lowest computed polymorph: 0.000 eV/atom

! Li2LaPdF | Alexandria via LeMat-Bulk | PBE | relaxed; values from VASP
&SYSTEM
  ibrav = 0, nat = 5, ntyp = 4
/
ATOMIC_SPECIES
Li 6.94 Li.upf
La 138.91 La.upf
Pd 106.42 Pd.upf
F 19.00 F.upf
CELL_PARAMETERS angstrom
4.071 0.000 0.000
0.000 4.071 0.000
0.000 0.000 5.340
ATOMIC_POSITIONS angstrom
Li 0.000 2.035 0.000
Li 2.035 0.000 0.000
La 0.000 0.000 2.670
Pd 2.035 2.035 2.670
F 0.000 0.000 0.000
! - ΔE_f (raw): -1.384 eV per atom

! LiLa2PdF | Alexandria via LeMat-Bulk | PBE | relaxed; values from VASP
&SYSTEM
  ibrav = 0, nat = 5, ntyp = 4
/
ATOMIC_SPECIES
Li 6.94 Li.upf
La 138.91 La.upf
Pd 106.42 Pd.upf
F 19.00 F.upf
CELL_PARAMETERS angstrom
5.241 0.000 0.000
0.000 5.241 0.000
0.000 0.000 3.901
ATOMIC_POSITIONS angstrom
Li 0.000 0.000 0.000
La 0.000 2.621 1.951
La 2.621 0.000 1.951
Pd 2.621 2.621 0.000
F 0.000 0.000 1.951
! - ΔE_f (raw): -1.277 eV per atom

! Li2LaPtF | Alexandria via LeMat-Bulk | PBE | relaxed; values from VASP
&SYSTEM
  ibrav = 0, nat = 5, ntyp = 4
/
ATOMIC_SPECIES
Li 6.94 Li.upf
La 138.91 La.upf
Pt 195.08 Pt.upf
F 19.00 F.upf
CELL_PARAMETERS angstrom
4.063 0.000 0.000
0.000 4.063 0.000
0.000 0.000 5.299
ATOMIC_POSITIONS angstrom
Li 0.000 2.031 0.000
Li 2.031 0.000 0.000
La 0.000 0.000 2.649
Pt 2.031 2.031 2.649
F 0.000 0.000 0.000
! - ΔE_f (raw): -1.536 eV per atom

! Rb2LiLaF6 | Alexandria via LeMat-Bulk | PBE | relaxed; values from VASP
&SYSTEM
  ibrav = 0, nat = 20, ntyp = 4
/
ATOMIC_SPECIES
Rb 85.47 Rb.upf
Li 6.94 Li.upf
La 138.91 La.upf
F 19.00 F.upf
CELL_PARAMETERS angstrom
6.309 0.000 0.000
0.000 6.282 0.000
-6.297 0.000 8.916
ATOMIC_POSITIONS angstrom
Rb -0.001 0.028 2.221
Rb -3.150 3.113 6.679
Rb 3.162 3.169 2.238
Rb 0.013 6.254 6.696
Li -3.148 0.000 4.458
Li 0.000 3.141 0.000
La 3.154 0.000 0.000
La 0.006 3.141 4.458
F -4.866 1.546 8.795
F -1.717 1.595 4.337
F -4.698 4.568 8.793
F -1.550 4.855 4.335
F -2.975 0.006 6.604
F 0.173 3.135 2.146
F -0.162 3.147 6.770
F 2.987 6.276 2.312
F 1.561 1.427 4.582
F 4.710 1.714 0.123
F 1.729 4.687 4.580
F 4.877 4.736 0.122
! - ΔE_f (raw): -3.302 eV per atom

! Rb2LiLaF6 | Alexandria via LeMat-Bulk | PBE | relaxed; values from VASP
&SYSTEM
  ibrav = 0, nat = 10, ntyp = 4
/
ATOMIC_SPECIES
Rb 85.47 Rb.upf
Li 6.94 Li.upf
La 138.91 La.upf
F 19.00 F.upf
CELL_PARAMETERS angstrom
0.000 4.453 4.453
4.453 0.000 4.453
4.453 4.453 0.000
ATOMIC_POSITIONS angstrom
Rb 2.227 2.227 2.227
Rb 6.680 6.680 6.680
Li 0.000 0.000 0.000
La 4.453 4.453 4.453
F 4.453 4.453 2.138
F 4.453 2.138 4.453
F 6.769 4.453 4.453
F 2.138 4.453 4.453
F 4.453 6.769 4.453
F 4.453 4.453 6.769
! - ΔE_f (raw): -3.303 eV per atom